# 1
# Ac2LaHg5 (PBE, optimized geometry)
# Total DFT energy (no corrections) (eV/cell): -18.18
# Space-group type: I4/mmm, No. 139
# Formation energy from the elements (meV/atom): -441
# Theoretical density (g/cm3): 11.1
# Crystal system: tetragonal
# Size of the total moment (μB per atom): 0.0000
data_Ac2LaHg5
_cell_length_a 8.670
_cell_length_b 8.670
_cell_length_c 8.670
_cell_angle_alpha 142.66
_cell_angle_beta 142.66
_cell_angle_gamma 53.83
_space_group_name_H-M_alt 'P 1'
_space_group_IT_number 1
loop_
_space_group_symop_operation_xyz
'x,y,z'
loop_
_atom_site_label
_atom_site_fract_x
_atom_site_fract_y
_atom_site_fract_z
Ac1 0.231 0.231 0.000
Ac2 0.769 0.769 0.000
La1 0.500 0.500 0.000
Hg1 0.000 0.000 0.000
Hg2 0.116 0.616 0.500
Hg3 0.384 0.884 0.500
Hg4 0.616 0.116 0.500
Hg5 0.884 0.384 0.500

***

# 2
# SrTaNi2 (PBE, optimized geometry)
# Total DFT energy (no corrections) (eV/cell): -22.33
# Space-group type: I-4m2, No. 119
# Formation energy from the elements (meV/atom): 693
# Theoretical density (g/cm3): 9.0
# Crystal system: tetragonal
# Size of the total moment (μB per atom): 0.0000
data_SrTaNi2
_cell_length_a 5.560
_cell_length_b 5.560
_cell_length_c 5.560
_cell_angle_alpha 139.62
_cell_angle_beta 139.62
_cell_angle_gamma 58.44
_space_group_name_H-M_alt 'P 1'
_space_group_IT_number 1
loop_
_space_group_symop_operation_xyz
'x,y,z'
loop_
_atom_site_label
_atom_site_fract_x
_atom_site_fract_y
_atom_site_fract_z
Sr1 0.000 0.000 0.000
Ta1 0.250 0.750 0.500
Ni1 0.500 0.500 0.000
Ni2 0.750 0.250 0.500

***

# 3
# Nd2NbGeN5 (PBE, optimized geometry)
# E_form (uncorrected) (eV/atom): -0.90
# Total DFT energy (no corrections) (eV/cell): -147.93
# Space-group type: Cmc2_1, No. 36
# Theoretical density (g/cm3): 7.2
# Crystal system: orthorhombic
# Size of the total moment (μB per atom): 0.0000
data_Nd2NbGeN5
_cell_length_a 7.503
_cell_length_b 7.503
_cell_length_c 10.156
_cell_angle_alpha 90.00
_cell_angle_beta 90.00
_cell_angle_gamma 154.91
_space_group_name_H-M_alt 'P 1'
_space_group_IT_number 1
loop_
_space_group_symop_operation_xyz
'x,y,z'
loop_
_atom_site_label
_atom_site_fract_x
_atom_site_fract_y
_atom_site_fract_z
Nd1 0.112 0.888 0.500
Nd2 0.125 0.875 0.111
Nd3 0.875 0.125 0.611
Nd4 0.888 0.112 0.000
Nb1 0.221 0.779 0.826
Nb2 0.779 0.221 0.326
Ge1 0.449 0.551 0.264
Ge2 0.551 0.449 0.764
N1 0.046 0.954 0.861
N2 0.287 0.713 0.460
N3 0.320 0.680 0.189
N4 0.350 0.650 0.809
N5 0.499 0.501 0.598
N6 0.501 0.499 0.098
N7 0.650 0.350 0.309
N8 0.680 0.320 0.689
N9 0.713 0.287 0.960
N10 0.954 0.046 0.361

***

# 4
# AcNdThTl (PBE, optimized geometry)
# Total DFT energy (no corrections) (eV/cell): -18.32
# Space-group type: F-43m, No. 216
# Formation energy from the elements (meV/atom): 85
# Theoretical density (g/cm3): 10.2
# Crystal system: cubic
# Size of the total moment (μB per atom): 0.0002
data_AcNdThTl
_cell_length_a 5.713
_cell_length_b 5.713
_cell_length_c 5.713
_cell_angle_alpha 60.00
_cell_angle_beta 60.00
_cell_angle_gamma 60.00
_space_group_name_H-M_alt 'P 1'
_space_group_IT_number 1
loop_
_space_group_symop_operation_xyz
'x,y,z'
loop_
_atom_site_label
_atom_site_fract_x
_atom_site_fract_y
_atom_site_fract_z
Ac1 0.000 0.000 0.000
Nd1 0.750 0.750 0.750
Th1 0.250 0.250 0.250
Tl1 0.500 0.500 0.500

***

# 5
# Yb2TiO5 (PBE, optimized geometry)
# E_form (uncorrected) (eV/atom): -2.84
# Total DFT energy (no corrections) (eV/cell): -116.90
# Space-group type: Cc, No. 9
# Theoretical density (g/cm3): 7.2
# Crystal system: monoclinic
# Size of the total moment (μB per atom): 0.2598
data_Yb2TiO5
_cell_length_a 6.410
_cell_length_b 6.410
_cell_length_c 7.751
_cell_angle_alpha 112.54
_cell_angle_beta 112.54
_cell_angle_gamma 49.47
_space_group_name_H-M_alt 'P 1'
_space_group_IT_number 1
loop_
_space_group_symop_operation_xyz
'x,y,z'
loop_
_atom_site_label
_atom_site_fract_x
_atom_site_fract_y
_atom_site_fract_z
Yb1 0.001 0.999 0.500
Yb2 0.718 0.740 0.512
Yb3 0.740 0.718 0.012
Yb4 0.999 0.001 0.000
Ti1 0.348 0.388 0.728
Ti2 0.388 0.348 0.228
O1 0.071 0.326 0.117
O2 0.125 0.748 0.210
O3 0.181 0.548 0.516
O4 0.326 0.071 0.617
O5 0.401 0.667 0.902
O6 0.548 0.181 0.016
O7 0.616 0.976 0.300
O8 0.667 0.401 0.402
O9 0.748 0.125 0.710
O10 0.976 0.616 0.800

***

# 6
# Ac2CdRuO8 (PBE, optimized geometry)
# E_form (uncorrected) (eV/atom): -1.78
# Total DFT energy (no corrections) (eV/cell): -79.48
# Space-group type: P-1, No. 2
# Theoretical density (g/cm3): 7.6
# Crystal system: triclinic
# Size of the total moment (μB per atom): 0.0000
data_Ac2CdRuO8
_cell_length_a 4.276
_cell_length_b 5.575
_cell_length_c 7.370
_cell_angle_alpha 85.62
_cell_angle_beta 89.45
_cell_angle_gamma 85.20
_space_group_name_H-M_alt 'P 1'
_space_group_IT_number 1
loop_
_space_group_symop_operation_xyz
'x,y,z'
loop_
_atom_site_label
_atom_site_fract_x
_atom_site_fract_y
_atom_site_fract_z
Ac1 0.199 0.009 0.247
Ac2 0.801 0.991 0.753
Cd1 0.500 0.500 0.000
Ru1 0.500 0.500 0.500
O1 0.233 0.775 0.555
O2 0.254 0.461 0.290
O3 0.273 0.842 0.942
O4 0.274 0.286 0.650
O5 0.726 0.714 0.350
O6 0.727 0.158 0.058
O7 0.746 0.539 0.710
O8 0.767 0.225 0.445

***

# 7
# HfZr2Tc2 (PBE, optimized geometry)
# Total DFT energy (no corrections) (eV/cell): -48.95
# Space-group type: Cmmm, No. 65
# Formation energy from the elements (meV/atom): -234
# Theoretical density (g/cm3): 9.2
# Crystal system: orthorhombic
# Size of the total moment (μB per atom): 0.0000
data_HfZr2Tc2
_cell_length_a 9.529
_cell_length_b 9.529
_cell_length_c 3.250
_cell_angle_alpha 90.00
_cell_angle_beta 90.00
_cell_angle_gamma 160.18
_space_group_name_H-M_alt 'P 1'
_space_group_IT_number 1
loop_
_space_group_symop_operation_xyz
'x,y,z'
loop_
_atom_site_label
_atom_site_fract_x
_atom_site_fract_y
_atom_site_fract_z
Hf1 0.000 0.000 0.000
Zr1 0.171 0.829 0.000
Zr2 0.829 0.171 0.000
Tc1 0.411 0.589 0.500
Tc2 0.589 0.411 0.500

***

# 8
# Cs3La2Te6Pb (PBE, optimized geometry)
# E_form (uncorrected) (eV/atom): -1.16
# Total DFT energy (no corrections) (eV/cell): -48.88
# Space-group type: C2/m, No. 12
# Theoretical density (g/cm3): 5.2
# Crystal system: monoclinic
# Size of the total moment (μB per atom): 0.0000
data_Cs3La2Te6Pb
_cell_length_a 8.237
_cell_length_b 8.237
_cell_length_c 9.378
_cell_angle_alpha 98.39
_cell_angle_beta 98.39
_cell_angle_gamma 120.00
_space_group_name_H-M_alt 'P 1'
_space_group_IT_number 1
loop_
_space_group_symop_operation_xyz
'x,y,z'
loop_
_atom_site_label
_atom_site_fract_x
_atom_site_fract_y
_atom_site_fract_z
Cs1 0.000 0.000 0.000
Cs2 0.335 0.665 0.000
Cs3 0.665 0.335 0.000
La1 0.167 0.833 0.500
La2 0.833 0.167 0.500
Te1 0.096 0.434 0.303
Te2 0.227 0.227 0.697
Te3 0.434 0.096 0.303
Te4 0.566 0.904 0.697
Te5 0.773 0.773 0.303
Te6 0.904 0.566 0.697
Pb1 0.500 0.500 0.500